Model w:
Computed, not measured: a geometry-optimized CsCuB3 structure at the GGA-PBE level of DFT.

Calculated values
SG: Pm-3m
Volume (Å³ per cell): 122.1

```
CsCuB3
1.0
4.961 0.000 0.000
0.000 4.961 0.000
0.000 0.000 4.961
B Cs Cu
3 1 1
direct
0.000 0.000 0.500 B
0.500 0.000 0.000 B
0.000 0.500 0.000 B
0.000 0.000 0.000 Cs
0.500 0.500 0.500 Cu
```



Model x:
Computed, not measured: a geometry-optimized CsCuB3 structure at the GGA-PBE level of DFT.

Calculated values
SG: Pm-3m
Volume (Å³ per cell): 79.7

```
CsCuB3
1.0
-3.534 -0.353 -2.431
2.443 -0.045 -3.543
0.265 -4.289 0.237
Cu B Cs
1 3 1
direct
0.000 0.000 0.000 Cu
0.000 0.500 0.000 B
0.500 0.000 0.000 B
0.000 0.000 0.500 B
0.500 0.500 0.500 Cs
```



Question: of the structures shown, which is the least stable? Reply: model w.